1.
Compound: Tb3BiSN
Source: the Alexandria database
Functional: GGA-PBE
Structure: relaxed

## Properties
Mass density   7.8 g/cm3
N(E_F)   2.5 states/eV/f.u.
Calculated total energy   -6.411 eV/atom
ΔE_f (raw)   -1.374 eV/atom

abc: 8.526 4.101 9.179
angles: 90.00 102.86 90.00
Fractional coordinates of all 12 atoms:
Tb 0.070 0.250 0.349
Tb 0.339 0.250 0.982
Tb 0.388 0.750 0.657
Tb 0.612 0.250 0.343
Tb 0.661 0.750 0.018
Tb 0.930 0.750 0.651
Bi 0.314 0.750 0.279
Bi 0.686 0.250 0.721
S 0.155 0.250 0.652
S 0.845 0.750 0.348
N 0.404 0.750 0.897
N 0.596 0.250 0.103

2.
Compound: La8Tb2Ho
Source: the Alexandria database
Functional: GGA-PBE
Structure: relaxed

## Properties
Energy above the most stable polymorph in this dataset   0.0 meV per atom
Formation energy   0.020 eV per atom
Mass density   6.8 g/cm3
N(E_F)   19.5 states/eV/f.u.
Calculated total energy   -4.822 eV/atom

abc: 9.720 9.720 8.238
angles: 104.61 104.61 31.20
Fractional coordinates of all 11 atoms:
La 0.047 0.047 0.227
La 0.137 0.137 0.685
La 0.319 0.319 0.588
La 0.408 0.408 0.047
La 0.592 0.592 0.953
La 0.681 0.681 0.412
La 0.863 0.863 0.315
La 0.953 0.953 0.773
Tb 0.226 0.226 0.135
Tb 0.774 0.774 0.865
Ho 0.500 0.500 0.500

3.
Compound: Na2SiNiAu
Source: the Alexandria database
Functional: GGA-PBE
Structure: relaxed

## Properties
Mass density   4.8 g/cm3
N(E_F)   1.5 states/eV/f.u.
Calculated total energy   -3.198 eV/atom
ΔE_f (raw)   0.226 eV/atom

abc: 5.166 5.166 4.308
angles: 90.00 90.00 90.00
Fractional coordinates of all 5 atoms:
Na 0.000 0.500 0.000
Na 0.500 0.000 0.000
Si 0.000 0.000 0.500
Ni 0.000 0.000 0.000
Au 0.500 0.500 0.500

4.
Compound: MgP2Br4
Source: the Alexandria database
Functional: GGA-PBE
Structure: relaxed

## Properties
Mass density   2.7 g/cm3
N(E_F)   2.7 states/eV/f.u.
Calculated total energy   -2.733 eV/atom
ΔE_f (raw)   -0.004 eV/atom

abc: 5.006 5.006 19.923
angles: 90.00 90.00 90.00
Fractional coordinates of all 14 atoms:
Mg 0.000 0.000 0.000
Mg 0.500 0.500 0.500
P 0.000 0.000 0.318
P 0.000 0.000 0.682
P 0.500 0.500 0.182
P 0.500 0.500 0.818
Br 0.000 0.000 0.210
Br 0.000 0.000 0.790
Br 0.000 0.500 0.000
Br 0.000 0.500 0.500
Br 0.500 0.000 0.000
Br 0.500 0.000 0.500
Br 0.500 0.500 0.290
Br 0.500 0.500 0.710